# 1
! NaCaY2Tl4 (PBE-GGA, optimized geometry); values from VASP
&SYSTEM
  ibrav = 0, nat = 8, ntyp = 4
/
ATOMIC_SPECIES
Y 88.91 Y.upf
Na 22.99 Na.upf
Ca 40.08 Ca.upf
Tl 204.38 Tl.upf
ATOMIC_POSITIONS crystal
Y 0.2477 0.2477 0.2569
Y 0.7523 0.7523 0.7431
Na 0.5000 0.5000 0.5000
Ca 0.0000 0.0000 0.0000
Tl 0.1259 0.1259 0.6223
Tl 0.6234 0.6234 0.1299
Tl 0.8741 0.8741 0.3777
Tl 0.3766 0.3766 0.8701
CELL_PARAMETERS angstrom
5.3816 0.0000 0.0000
2.6908 4.6606 0.0000
2.6908 1.5535 8.8496
! SG = R-3m, No. 166
! ΔE_f = -0.31 eV per atom
! total DFT energy (no corrections) = -3.524 eV per atom



# 2
! LaYGaPb (PBE-GGA, optimized geometry); values from VASP
&SYSTEM
  ibrav = 0, nat = 4, ntyp = 4
/
ATOMIC_SPECIES
Ga 69.72 Ga.upf
La 138.91 La.upf
Pb 207.20 Pb.upf
Y 88.91 Y.upf
ATOMIC_POSITIONS crystal
Ga 0.0000 0.0000 0.0000
La 0.7500 0.7500 0.7500
Pb 0.5000 0.5000 0.5000
Y 0.2500 0.2500 0.2500
CELL_PARAMETERS angstrom
-2.7027 2.6523 -3.8617
-5.1170 1.5334 0.8470
-1.1827 5.2388 0.6384
! SG = F-43m, No. 216
! ΔE_f = -0.49 eV per atom
! total DFT energy (no corrections) = -5.024 eV per atom



# 3
! Tl2CdBi (PBE-GGA, optimized geometry); values from VASP
&SYSTEM
  ibrav = 0, nat = 4, ntyp = 3
/
ATOMIC_SPECIES
Cd 112.41 Cd.upf
Tl 204.38 Tl.upf
Bi 208.98 Bi.upf
ATOMIC_POSITIONS crystal
Cd 0.0000 0.0000 0.0000
Tl 0.7500 0.7500 0.7500
Tl 0.2500 0.2500 0.2500
Bi 0.5000 0.5000 0.5000
CELL_PARAMETERS angstrom
0.9979 -3.9540 3.7748
-4.2323 -2.7186 2.3614
-0.9212 -5.3346 -1.2541
! SG = Fm-3m, No. 225
! ΔE_f = 0.01 eV per atom
! distance to the lowest polymorph of the same formula = 0 meV/atom
! total DFT energy (no corrections) = -2.368 eV per atom



# 4
! NaHoMgAl (PBE-GGA, optimized geometry); values from VASP
&SYSTEM
  ibrav = 0, nat = 4, ntyp = 4
/
ATOMIC_SPECIES
Na 22.99 Na.upf
Ho 164.93 Ho.upf
Mg 24.30 Mg.upf
Al 26.98 Al.upf
ATOMIC_POSITIONS crystal
Na 0.0000 0.0000 0.0000
Ho 0.7500 0.7500 0.7500
Mg 0.2500 0.2500 0.2500
Al 0.5000 0.5000 0.5000
CELL_PARAMETERS angstrom
5.0932 0.0000 0.0000
2.5466 4.4108 0.0000
2.5466 1.4703 4.1586
! SG = F-43m, No. 216
! ΔE_f = 0.00 eV per atom
! total DFT energy (no corrections) = -2.811 eV per atom



# 5
! CoP2Se (PBE-GGA, optimized geometry); values from VASP
&SYSTEM
  ibrav = 0, nat = 8, ntyp = 3
/
ATOMIC_SPECIES
Se 78.96 Se.upf
Co 58.93 Co.upf
P 30.97 P.upf
ATOMIC_POSITIONS crystal
Se 0.7500 0.2500 0.5000
Se 0.0000 0.0000 0.0000
Co 0.5000 0.5000 0.0000
Co 0.2500 0.7500 0.5000
P 0.3750 0.4475 0.7500
P 0.1975 0.6250 0.2500
P 0.5525 0.1250 0.2500
P 0.8750 0.8025 0.7500
CELL_PARAMETERS angstrom
-4.9570 1.9880 -0.0138
-0.9847 -2.4231 4.6565
-1.2555 4.0777 4.9192
! SG = I-42d, No. 122
! total DFT energy (no corrections) = -5.301 eV per atom



no.,D(E_F) (states/eV per atom)
1,0.567
2,0.543
3,0.365
4,0.638
5,0.764